(1)
VASP calculation (PBE-GGA) on crystalline GaTeP2O at its relaxed geometry.

It has space group P4/mmm (No. 123), with a = 4.965 Å, b = 4.965 Å, c = 3.643 Å, α = 90.00°, β = 90.00° and γ = 90.00°. The distinct sites, in fractional coordinates, are Ga at (0.000, 0.000, 0.000), Te at (0.500, 0.500, 0.500), P at (0.000, 0.500, 0.000) and O at (0.000, 0.000, 0.500).

The value obtained for the uncorrected formation energy is 19 kJ/mol of atoms. As for the crystal system: tetragonal.

---

(2)
VASP calculation (PBE-GGA) on crystalline Ga2TePO at its relaxed geometry.

It has space group P4/mmm (No. 123), with a = 5.847 Å, b = 5.847 Å, c = 4.918 Å, α = 90.00°, β = 90.00° and γ = 90.00°. The distinct sites, in fractional coordinates, are Ga at (0.000, 0.500, 0.000), Te at (0.000, 0.000, 0.000), P at (0.000, 0.000, 0.500) and O at (0.500, 0.500, 0.500).

The value obtained for the uncorrected formation energy is 107 kJ/mol of atoms. As for the crystal system: tetragonal.

---

(3)
VASP calculation (PBE-GGA) on crystalline GaTeP2O at its relaxed geometry.

It has space group P4/mmm (No. 123), with a = 5.174 Å, b = 5.174 Å, c = 3.963 Å, α = 90.00°, β = 90.00° and γ = 90.00°. The distinct sites, in fractional coordinates, are Ga at (0.000, 0.000, 0.000), Te at (0.500, 0.500, 0.500), P at (0.000, 0.500, 0.500) and O at (0.500, 0.500, 0.000).

The value obtained for the uncorrected formation energy is 50 kJ/mol of atoms. As for the crystal system: tetragonal.

---

(4)
VASP calculation (PBE-GGA) on crystalline TiGaPO2 at its relaxed geometry.

It has space group P4/mmm (No. 123), with a = 3.751 Å, b = 3.751 Å, c = 5.347 Å, α = 90.00°, β = 90.00° and γ = 90.00°. The distinct sites, in fractional coordinates, are Ti at (0.000, 0.000, 0.000), Ga at (0.500, 0.500, 0.500), P at (0.000, 0.000, 0.500) and O at (0.000, 0.500, 0.000).

The value obtained for the uncorrected formation energy is -133 kJ/mol of atoms. As for the crystal system: tetragonal.